Record 1
VASP calculation (meta-GGA SCAN) on a PBEsol-optimized structure of Sr2VClO4.

SG: Pbcm (57)
energy relative to the elements, uncorrected: -3.1201 eV per atom
M_tot: 0.0 μB per formula unit
D(E_F): 0.00 states/eV per atom

The structure in extended XYZ format:
```
32
Lattice="6.5197 0.0000 0.0000 0.0000 7.4613 0.0000 0.0000 0.0000 11.4166" Properties=species:S:1:pos:R:3 pbc="T T T"
Sr 0.8119 1.8653 0.0000
Sr 0.8119 1.8653 5.7083
Sr 2.3584 3.9882 2.8542
Sr 2.3584 7.2038 8.5625
Sr 4.1613 0.2575 2.8542
Sr 4.1613 3.4731 8.5625
Sr 5.7078 5.5960 0.0000
Sr 5.7078 5.5960 5.7083
V 2.4276 5.5960 0.0000
V 2.4276 5.5960 5.7083
V 4.0922 1.8653 0.0000
V 4.0922 1.8653 5.7083
Cl 0.0585 5.1636 8.5625
Cl 0.0585 6.0284 2.8542
Cl 6.4612 1.4329 8.5625
Cl 6.4612 2.2977 2.8542
O 1.3999 4.2739 0.3465
O 1.3999 4.2739 5.3618
O 1.3999 6.9180 6.0548
O 1.3999 6.9180 11.0701
O 3.0708 1.6775 7.0766
O 3.0708 1.6775 10.0484
O 3.0708 2.0531 1.3683
O 3.0708 2.0531 4.3400
O 3.4490 5.4082 7.0766
O 3.4490 5.4082 10.0484
O 3.4490 5.7838 1.3683
O 3.4490 5.7838 4.3400
O 5.1198 0.5433 0.3465
O 5.1198 0.5433 5.3618
O 5.1198 3.1874 6.0548
O 5.1198 3.1874 11.0701
```



Record 2
VASP calculation (meta-GGA SCAN) on a PBEsol-optimized structure of KIr3I.

SG: Pm-3m (221)
energy relative to the elements, uncorrected: 1.7695 eV per atom
M_tot: 2.8 μB per formula unit
D(E_F): 0.75 states/eV per atom

The structure in extended XYZ format:
```
5
Lattice="4.9002 0.0000 0.0000 0.0000 4.9002 0.0000 0.0000 0.0000 4.9002" Properties=species:S:1:pos:R:3 pbc="T T T"
K 0.0000 0.0000 0.0000
Ir 0.0000 2.4501 2.4501
Ir 2.4501 0.0000 2.4501
Ir 2.4501 2.4501 0.0000
I 2.4501 2.4501 2.4501
```



Record 3
VASP calculation (meta-GGA SCAN) on a PBEsol-optimized structure of ScReMo.

SG: I4mm (107)
energy above the most stable polymorph in this dataset: 0.000 eV per atom
M_tot: 0.0 μB per formula unit
D(E_F): 0.68 states/eV per atom
DFT formation energy: -157 meV per atom

The structure in extended XYZ format:
```
6
Lattice="3.1258 0.0000 0.0000 0.0000 3.1258 0.0000 0.0000 0.0000 10.0591" Properties=species:S:1:pos:R:3 pbc="T T T"
Sc 0.0000 0.0000 0.0000
Sc 1.5629 1.5629 5.0296
Re 0.0000 0.0000 3.2330
Re 1.5629 1.5629 8.2625
Mo 0.0000 0.0000 6.8754
Mo 1.5629 1.5629 1.8458
```